(1)
# PBE ZrBeIn2, optimized geometry
data_ZrBeIn2
_chemical_formula_sum 'Zr1 Be1 In2'
_symmetry_space_group_name_H-M 'P 1'
_symmetry_Int_Tables_number 1
_cell_length_a 3.173
_cell_length_b 4.430
_cell_length_c 5.796
_cell_angle_alpha 90.00
_cell_angle_beta 90.00
_cell_angle_gamma 90.00
loop_
_symmetry_equiv_pos_as_xyz
'x,y,z'
loop_
_atom_site_label
_atom_site_fract_x
_atom_site_fract_y
_atom_site_fract_z
Zr1 0.000 0.000 0.000
Be1 0.500 0.500 0.800
In1 0.500 0.000 0.550
In2 0.500 0.500 0.236
# **DOS(E_F)**: 1.904 states/eV per cell
# **Spin magnetization**: 0.0 μB per cell
# **Calculated formation energy**: 0.054 eV per atom



(2)
# PBE Zr2BeIn, optimized geometry
data_Zr2BeIn
_chemical_formula_sum 'Zr2 Be1 In1'
_symmetry_space_group_name_H-M 'P 1'
_symmetry_Int_Tables_number 1
_cell_length_a 5.697
_cell_length_b 5.697
_cell_length_c 5.697
_cell_angle_alpha 147.35
_cell_angle_beta 128.45
_cell_angle_gamma 62.36
loop_
_symmetry_equiv_pos_as_xyz
'x,y,z'
loop_
_atom_site_label
_atom_site_fract_x
_atom_site_fract_y
_atom_site_fract_z
Zr1 0.000 0.000 0.000
Zr2 0.726 0.226 0.500
Be1 0.234 0.734 0.500
In1 0.440 0.440 0.000
# **DOS(E_F)**: 2.563 states/eV per cell
# **Spin magnetization**: 0.0 μB per cell
# **E above lowest polymorph**: 0.428 eV per formula unit
# **Calculated formation energy**: -0.072 eV per atom



(3)
# PBE ZrBe2In, optimized geometry
data_ZrBe2In
_chemical_formula_sum 'Zr1 Be2 In1'
_symmetry_space_group_name_H-M 'P 1'
_symmetry_Int_Tables_number 1
_cell_length_a 3.093
_cell_length_b 4.017
_cell_length_c 5.427
_cell_angle_alpha 90.00
_cell_angle_beta 90.00
_cell_angle_gamma 90.00
loop_
_symmetry_equiv_pos_as_xyz
'x,y,z'
loop_
_atom_site_label
_atom_site_fract_x
_atom_site_fract_y
_atom_site_fract_z
Zr1 0.000 0.000 0.000
Be1 0.500 0.500 0.197
Be2 0.500 0.500 0.803
In1 0.500 0.000 0.500
# **DOS(E_F)**: 2.675 states/eV per cell
# **Spin magnetization**: 0.0 μB per cell
# **Calculated formation energy**: 0.093 eV per atom



(4)
# PBE ZrBeIn2, optimized geometry
data_ZrBeIn2
_chemical_formula_sum 'Zr1 Be1 In2'
_symmetry_space_group_name_H-M 'P 1'
_symmetry_Int_Tables_number 1
_cell_length_a 3.303
_cell_length_b 4.138
_cell_length_c 6.063
_cell_angle_alpha 90.00
_cell_angle_beta 90.00
_cell_angle_gamma 90.00
loop_
_symmetry_equiv_pos_as_xyz
'x,y,z'
loop_
_atom_site_label
_atom_site_fract_x
_atom_site_fract_y
_atom_site_fract_z
Zr1 0.000 0.000 0.000
Be1 0.500 0.500 0.199
In1 0.000 0.000 0.471
In2 0.500 0.500 0.755
# **DOS(E_F)**: 3.103 states/eV per cell
# **Spin magnetization**: 0.0 μB per cell
# **Calculated formation energy**: 0.165 eV per atom



(5)
# PBE ZrBe2In, optimized geometry
data_ZrBe2In
_chemical_formula_sum 'Zr1 Be2 In1'
_symmetry_space_group_name_H-M 'P 1'
_symmetry_Int_Tables_number 1
_cell_length_a 3.175
_cell_length_b 3.175
_cell_length_c 6.445
_cell_angle_alpha 90.00
_cell_angle_beta 90.00
_cell_angle_gamma 97.53
loop_
_symmetry_equiv_pos_as_xyz
'x,y,z'
loop_
_atom_site_label
_atom_site_fract_x
_atom_site_fract_y
_atom_site_fract_z
Zr1 0.000 0.000 0.000
Be1 0.500 0.500 0.262
Be2 0.500 0.500 0.738
In1 0.000 0.000 0.500
# **DOS(E_F)**: 2.810 states/eV per cell
# **Spin magnetization**: 0.0 μB per cell
# **Calculated formation energy**: 0.220 eV per atom



(6)
# PBE Zr2Be2In, optimized geometry
data_Zr2Be2In
_chemical_formula_sum 'Zr2 Be2 In1'
_symmetry_space_group_name_H-M 'P 1'
_symmetry_Int_Tables_number 1
_cell_length_a 9.656
_cell_length_b 9.656
_cell_length_c 9.656
_cell_angle_alpha 161.87
_cell_angle_beta 161.87
_cell_angle_gamma 25.74
loop_
_symmetry_equiv_pos_as_xyz
'x,y,z'
loop_
_atom_site_label
_atom_site_fract_x
_atom_site_fract_y
_atom_site_fract_z
Zr1 0.123 0.123 0.000
Zr2 0.877 0.877 0.000
Be1 0.250 0.750 0.500
Be2 0.750 0.250 0.500
In1 0.500 0.500 0.000
# **DOS(E_F)**: 3.414 states/eV per cell
# **Spin magnetization**: 0.0 μB per cell
# **E above lowest polymorph**: 2.040 eV per formula unit
# **Calculated formation energy**: 0.125 eV per atom



(7)
# PBE ZrBe2In, optimized geometry
data_ZrBe2In
_chemical_formula_sum 'Zr1 Be2 In1'
_symmetry_space_group_name_H-M 'P 1'
_symmetry_Int_Tables_number 1
_cell_length_a 5.566
_cell_length_b 5.566
_cell_length_c 5.566
_cell_angle_alpha 145.31
_cell_angle_beta 138.04
_cell_angle_gamma 55.53
loop_
_symmetry_equiv_pos_as_xyz
'x,y,z'
loop_
_atom_site_label
_atom_site_fract_x
_atom_site_fract_y
_atom_site_fract_z
Zr1 0.000 0.000 0.000
Be1 0.275 0.775 0.500
Be2 0.424 0.424 0.000
In1 0.729 0.229 0.500
# **DOS(E_F)**: 2.401 states/eV per cell
# **Spin magnetization**: 0.0 μB per cell
# **Calculated formation energy**: 0.162 eV per atom



(8)
# PBE Zr3BeIn, optimized geometry
data_Zr3BeIn
_chemical_formula_sum 'Zr3 Be1 In1'
_symmetry_space_group_name_H-M 'P 1'
_symmetry_Int_Tables_number 1
_cell_length_a 4.760
_cell_length_b 4.760
_cell_length_c 4.760
_cell_angle_alpha 90.00
_cell_angle_beta 90.00
_cell_angle_gamma 90.00
loop_
_symmetry_equiv_pos_as_xyz
'x,y,z'
loop_
_atom_site_label
_atom_site_fract_x
_atom_site_fract_y
_atom_site_fract_z
Zr1 0.000 0.000 0.500
Zr2 0.000 0.500 0.000
Zr3 0.500 0.000 0.000
Be1 0.000 0.000 0.000
In1 0.500 0.500 0.500
# **DOS(E_F)**: 6.461 states/eV per cell
# **Spin magnetization**: 0.0 μB per cell
# **E above lowest polymorph**: 0.000 eV per formula unit
# **Calculated formation energy**: 0.015 eV per atom



(9)
# PBE Zr2BeIn, optimized geometry
data_Zr2BeIn
_chemical_formula_sum 'Zr2 Be1 In1'
_symmetry_space_group_name_H-M 'P 1'
_symmetry_Int_Tables_number 1
_cell_length_a 4.331
_cell_length_b 4.331
_cell_length_c 4.148
_cell_angle_alpha 90.00
_cell_angle_beta 90.00
_cell_angle_gamma 90.00
loop_
_symmetry_equiv_pos_as_xyz
'x,y,z'
loop_
_atom_site_label
_atom_site_fract_x
_atom_site_fract_y
_atom_site_fract_z
Zr1 0.000 0.500 0.000
Zr2 0.500 0.000 0.000
Be1 0.000 0.000 0.500
In1 0.500 0.500 0.500
# **DOS(E_F)**: 3.886 states/eV per cell
# **Spin magnetization**: 0.0 μB per cell
# **E above lowest polymorph**: 0.428 eV per formula unit
# **Calculated formation energy**: -0.072 eV per atom



(10)
# PBE ZrBeIn2, optimized geometry
data_ZrBeIn2
_chemical_formula_sum 'Zr1 Be1 In2'
_symmetry_space_group_name_H-M 'P 1'
_symmetry_Int_Tables_number 1
_cell_length_a 4.860
_cell_length_b 4.860
_cell_length_c 4.860
_cell_angle_alpha 60.00
_cell_angle_beta 60.00
_cell_angle_gamma 60.00
loop_
_symmetry_equiv_pos_as_xyz
'x,y,z'
loop_
_atom_site_label
_atom_site_fract_x
_atom_site_fract_y
_atom_site_fract_z
Zr1 0.000 0.000 0.000
Be1 0.750 0.750 0.750
In1 0.250 0.250 0.250
In2 0.500 0.500 0.500
# **DOS(E_F)**: 3.698 states/eV per cell
# **Spin magnetization**: 0.0 μB per cell
# **Calculated formation energy**: 0.408 eV per atom



(11)
# PBE ZrBe2In, optimized geometry
data_ZrBe2In
_chemical_formula_sum 'Zr1 Be2 In1'
_symmetry_space_group_name_H-M 'P 1'
_symmetry_Int_Tables_number 1
_cell_length_a 8.974
_cell_length_b 8.974
_cell_length_c 8.974
_cell_angle_alpha 19.16
_cell_angle_beta 19.16
_cell_angle_gamma 19.16
loop_
_symmetry_equiv_pos_as_xyz
'x,y,z'
loop_
_atom_site_label
_atom_site_fract_x
_atom_site_fract_y
_atom_site_fract_z
Zr1 0.000 0.000 0.000
Be1 0.479 0.479 0.479
Be2 0.752 0.752 0.752
In1 0.229 0.229 0.229
# **DOS(E_F)**: 3.061 states/eV per cell
# **Spin magnetization**: 0.0 μB per cell
# **Calculated formation energy**: 0.482 eV per atom



(12)
# PBE ZrBeIn2, optimized geometry
data_ZrBeIn2
_chemical_formula_sum 'Zr1 Be1 In2'
_symmetry_space_group_name_H-M 'P 1'
_symmetry_Int_Tables_number 1
_cell_length_a 5.521
_cell_length_b 5.521
_cell_length_c 5.521
_cell_angle_alpha 136.01
_cell_angle_beta 136.01
_cell_angle_gamma 63.96
loop_
_symmetry_equiv_pos_as_xyz
'x,y,z'
loop_
_atom_site_label
_atom_site_fract_x
_atom_site_fract_y
_atom_site_fract_z
Zr1 0.000 0.000 0.000
Be1 0.250 0.750 0.500
In1 0.500 0.500 0.000
In2 0.750 0.250 0.500
# **DOS(E_F)**: 3.710 states/eV per cell
# **Spin magnetization**: 0.0 μB per cell
# **Calculated formation energy**: 0.097 eV per atom